No. 1
Computed, not measured: a relaxed structure of Tm8As3CSe3 at the PBE level of DFT.

Unit cell a=7.9944 b=7.9944 c=19.5074 alpha=90.00 beta=90.00 gamma=120.00
Space group R-3m (No. 166, hexagonal axes)
Symmetry-distinct sites (fractional):
Tm1 0.0000 0.0000 0.2457
Tm2 0.0417 0.5208 0.7422
As1 0.0000 0.5000 0.5000
C1 0.0000 0.0000 0.0000
Se1 0.0000 0.5000 0.0000

Properties
As for the uncorrected formation energy: -1345 meV per atom. As for the crystal system: trigonal. The value obtained for the density of states at the Fermi level is 8.46 states/eV/f.u.


No. 2
Computed, not measured: a relaxed structure of Tm8As3CSe4 at the PBE level of DFT.

Unit cell a=7.9532 b=7.9532 c=19.6984 alpha=90.00 beta=90.00 gamma=120.00
Space group R-3m (No. 166, hexagonal axes)
Symmetry-distinct sites (fractional):
Tm1 0.0000 0.0000 0.2461
Tm2 0.0271 0.5136 0.2400
As1 0.0000 0.5000 0.5000
C1 0.0000 0.0000 0.5000
Se1 0.0000 0.0000 0.0000
Se2 0.0000 0.5000 0.0000

Properties
As for the uncorrected formation energy: -1523 meV per atom. As for the crystal system: trigonal. The value obtained for the density of states at the Fermi level is 4.21 states/eV/f.u.


No. 3
Computed, not measured: a relaxed structure of VAs2CSe at the PBE level of DFT.

Unit cell a=4.7268 b=4.7268 c=4.6861 alpha=90.00 beta=90.00 gamma=90.00
Space group P4/mmm (No. 123)
Symmetry-distinct sites (fractional):
V1 0.0000 0.0000 0.0000
As1 0.0000 0.5000 0.0000
C1 0.5000 0.5000 0.5000
Se1 0.0000 0.0000 0.5000

Properties
As for the uncorrected formation energy: 1423 meV per atom. As for the crystal system: tetragonal. The value obtained for the density of states at the Fermi level is 4.19 states/eV/f.u.


No. 4
Computed, not measured: a relaxed structure of VAs2CSe at the PBE level of DFT.

Unit cell a=4.2899 b=4.2899 c=4.2912 alpha=90.00 beta=90.00 gamma=90.00
Space group P4/mmm (No. 123)
Symmetry-distinct sites (fractional):
V1 0.0000 0.0000 0.0000
As1 0.0000 0.5000 0.5000
C1 0.5000 0.5000 0.5000
Se1 0.5000 0.5000 0.0000

Properties
As for the uncorrected formation energy: 1141 meV per atom. As for the crystal system: tetragonal. The value obtained for the density of states at the Fermi level is 6.54 states/eV/f.u.


No. 5
Computed, not measured: a relaxed structure of As2WCSe at the PBE level of DFT.

Unit cell a=4.1635 b=4.1635 c=4.4814 alpha=90.00 beta=90.00 gamma=90.00
Space group P4/mmm (No. 123)
Symmetry-distinct sites (fractional):
As1 0.0000 0.5000 0.0000
W1 0.0000 0.0000 0.5000
C1 0.5000 0.5000 0.0000
Se1 0.5000 0.5000 0.5000

Properties
As for the uncorrected formation energy: 1413 meV per atom. As for the crystal system: tetragonal. The value obtained for the density of states at the Fermi level is 5.20 states/eV/f.u.


No. 6
Computed, not measured: a relaxed structure of As2WCSe at the PBE level of DFT.

Unit cell a=4.9164 b=4.9164 c=4.8202 alpha=90.00 beta=90.00 gamma=90.00
Space group P4/mmm (No. 123)
Symmetry-distinct sites (fractional):
As1 0.0000 0.5000 0.0000
W1 0.0000 0.0000 0.0000
C1 0.5000 0.5000 0.5000
Se1 0.0000 0.0000 0.5000

Properties
As for the uncorrected formation energy: 1702 meV per atom. As for the crystal system: tetragonal. The value obtained for the density of states at the Fermi level is 3.07 states/eV/f.u.


No. 7
Computed, not measured: a relaxed structure of Y8As3CSe3 at the PBE level of DFT.

Unit cell a=8.1308 b=8.1308 c=19.8429 alpha=90.00 beta=90.00 gamma=120.00
Space group R-3m (No. 166, hexagonal axes)
Symmetry-distinct sites (fractional):
Y1 0.0000 0.0000 0.2458
Y2 0.0400 0.5200 0.7425
As1 0.0000 0.5000 0.5000
C1 0.0000 0.0000 0.0000
Se1 0.0000 0.5000 0.0000

Properties
As for the uncorrected formation energy: -1403 meV per atom. As for the crystal system: trigonal. The value obtained for the density of states at the Fermi level is 9.31 states/eV/f.u.


No. 8
Computed, not measured: a relaxed structure of Y8As3CSe4 at the PBE level of DFT.

Unit cell a=8.0850 b=8.0850 c=20.0356 alpha=90.00 beta=90.00 gamma=120.00
Space group R-3m (No. 166, hexagonal axes)
Symmetry-distinct sites (fractional):
Y1 0.0000 0.0000 0.2462
Y2 0.0256 0.5128 0.2405
As1 0.0000 0.5000 0.5000
C1 0.0000 0.0000 0.5000
Se1 0.0000 0.0000 0.0000
Se2 0.0000 0.5000 0.0000

Properties
As for the uncorrected formation energy: -1573 meV per atom. As for the crystal system: trigonal. The value obtained for the density of states at the Fermi level is 4.06 states/eV/f.u.


No. 9
Computed, not measured: a relaxed structure of Y4AsCSe2 at the PBE level of DFT.

Unit cell a=6.9165 b=3.9347 c=7.0070 alpha=90.00 beta=108.83 gamma=90.00
Space group P2/m (No. 10)
Symmetry-distinct sites (fractional):
Y1 0.2179 0.0000 0.2128
Y2 0.2325 0.5000 0.7784
As1 0.5000 0.0000 0.0000
C1 0.0000 0.5000 0.0000
Se1 0.0000 0.0000 0.5000
Se2 0.5000 0.5000 0.5000

Properties
As for the uncorrected formation energy: -1422 meV per atom. As for the crystal system: monoclinic. The value obtained for the density of states at the Fermi level is 1.94 states/eV/f.u.


No. 10
Computed, not measured: a relaxed structure of YAsCSe2 at the PBE level of DFT.

Unit cell a=4.5456 b=4.5456 c=4.4605 alpha=90.00 beta=90.00 gamma=90.00
Space group P4/mmm (No. 123)
Symmetry-distinct sites (fractional):
Y1 0.0000 0.0000 0.0000
As1 0.5000 0.5000 0.0000
C1 0.5000 0.5000 0.5000
Se1 0.0000 0.5000 0.5000

Properties
As for the uncorrected formation energy: 236 meV per atom. As for the crystal system: tetragonal. The value obtained for the density of states at the Fermi level is 2.47 states/eV/f.u.


No. 11
Computed, not measured: a relaxed structure of YAsCSe2 at the PBE level of DFT.

Unit cell a=5.4102 b=5.4102 c=5.5773 alpha=90.00 beta=90.00 gamma=90.00
Space group P4/mmm (No. 123)
Symmetry-distinct sites (fractional):
Y1 0.0000 0.0000 0.0000
As1 0.0000 0.0000 0.5000
C1 0.5000 0.5000 0.5000
Se1 0.0000 0.5000 0.0000

Properties
As for the uncorrected formation energy: 1422 meV per atom. As for the crystal system: tetragonal. The value obtained for the density of states at the Fermi level is 7.69 states/eV/f.u.


No. 12
Computed, not measured: a relaxed structure of ZnAsCSe2 at the PBE level of DFT.

Unit cell a=4.9123 b=4.9123 c=4.7653 alpha=90.00 beta=90.00 gamma=90.00
Space group P4/mmm (No. 123)
Symmetry-distinct sites (fractional):
Zn1 0.0000 0.0000 0.0000
As1 0.0000 0.0000 0.5000
C1 0.5000 0.5000 0.5000
Se1 0.0000 0.5000 0.0000

Properties
As for the uncorrected formation energy: 1861 meV per atom. As for the crystal system: tetragonal. The value obtained for the density of states at the Fermi level is 5.18 states/eV/f.u.